(1)
A geometry-optimized Be2RuPb structure, computed with PBEsol.

a = 5.0528 Å, b = 5.0528 Å, c = 5.0528 Å
α = 139.02°, β = 138.03°, γ = 60.11°
Last column: nearest neighbours and their distance in Å.
Fractional positions:
Be (0.0000, 0.0000, 0.0000)  2 Be 2.24
Be (0.8425, 0.3425, 0.5000)  2 Be 2.24, 2 Ru 2.26
Ru (0.4963, 0.4963, 0.0000)  2 Be 2.26
Pb (0.2457, 0.7457, 0.5000)  8 Be 2.67-2.87, 4 Ru 2.82-2.83

**Crystal system**: orthorhombic
**Space-group type**: Imm2
**Relative energy among the computed polymorphs**: 0.0 kJ per mole of atoms

(2)
A geometry-optimized LaYIr structure, computed with PBEsol.

a = 4.8479 Å, b = 4.8479 Å, c = 4.8479 Å
α = 60.00°, β = 60.00°, γ = 60.00°
Last column: nearest neighbours and their distance in Å.
Fractional positions:
La (0.0000, 0.0000, 0.0000)  4 Ir 2.97
Y (0.5000, 0.5000, 0.5000)  4 Ir 2.97
Ir (0.7500, 0.7500, 0.7500)  4 La 2.97, 4 Y 2.97

**Crystal system**: cubic
**Energy**: -0.28916 hartree per atom
**Space-group type**: F-43m

(3)
A geometry-optimized Y2ScRu structure, computed with PBEsol.

a = 6.0987 Å, b = 6.0987 Å, c = 6.0987 Å
α = 147.35°, β = 130.64°, γ = 60.45°
Last column: nearest neighbours and their distance in Å.
Fractional positions:
Y (0.0000, 0.0000, 0.0000)  2 Ru 2.81
Y (0.7028, 0.2028, 0.5000)  4 Ru 3.07, 2 Sc 3.27, 4 Y 3.33-3.43
Sc (0.3982, 0.3982, 0.0000)  2 Ru 2.61
Ru (0.2118, 0.7118, 0.5000)  2 Sc 2.61, 2 Y 2.81

**Crystal system**: orthorhombic
**Space-group type**: Imm2
**Relative energy among the computed polymorphs**: 0.0 kJ per mole of atoms

(4)
A geometry-optimized K2NaZn2H5C4O14 structure, computed with PBEsol.

a = 5.1596 Å, b = 10.9317 Å, c = 11.4871 Å
α = 90.00°, β = 113.72°, γ = 90.00°
Last column: nearest neighbours and their distance in Å.
Fractional positions:
K (0.0336, 0.1653, 0.0782)  7 O 2.71-2.95, 1 H 2.95
K (0.0336, 0.3347, 0.5782)  7 O 2.71-2.95, 1 H 2.95
K (0.9664, 0.6653, 0.4218)  7 O 2.71-2.95, 1 H 2.95
K (0.9664, 0.8347, 0.9218)  7 O 2.71-2.95, 1 H 2.95
Na (0.0000, 0.0000, 0.5000)  4 O 2.30-2.35
Na (0.0000, 0.5000, 0.0000)  4 O 2.30-2.35
Zn (0.3284, 0.6087, 0.7938)  4 O 2.00-2.06
Zn (0.3284, 0.8913, 0.2938)  4 O 2.00-2.06
Zn (0.6716, 0.1087, 0.7062)  4 O 2.00-2.06
Zn (0.6716, 0.3913, 0.2062)  4 O 2.00-2.06
H (0.0503, 0.6955, 0.1762)  1 O 1.03
H (0.0503, 0.8045, 0.6762)  1 O 1.03
H (0.3812, 0.6634, 0.2258)  1 O 1.02
H (0.3812, 0.8366, 0.7258)  1 O 1.02
H (0.5000, 0.0000, 0.0000)  2 O 1.21
H (0.5000, 0.5000, 0.5000)  2 O 1.21
H (0.6188, 0.1634, 0.2742)  1 O 1.02
H (0.6188, 0.3366, 0.7742)  1 O 1.02
H (0.9497, 0.1955, 0.3238)  1 O 1.03
H (0.9497, 0.3045, 0.8238)  1 O 1.03
C (0.2863, 0.0745, 0.8185)  3 O 1.29-1.31
C (0.2863, 0.4255, 0.3185)  3 O 1.29-1.31
C (0.4229, 0.1288, 0.4329)  3 O 1.28-1.30
C (0.4229, 0.3712, 0.9329)  3 O 1.28-1.30
C (0.5771, 0.6288, 0.0671)  3 O 1.28-1.30
C (0.5771, 0.8712, 0.5671)  3 O 1.28-1.30
C (0.7137, 0.5745, 0.6815)  3 O 1.29-1.31
C (0.7137, 0.9255, 0.1815)  3 O 1.29-1.31
O (0.0564, 0.0620, 0.8357)  1 C 1.29
O (0.0564, 0.4380, 0.3357)  1 C 1.29
O (0.2055, 0.1713, 0.4466)  1 C 1.28
O (0.2055, 0.3287, 0.9466)  1 C 1.28
O (0.2423, 0.7091, 0.2523)  2 H 1.02-1.03
O (0.2423, 0.7909, 0.7523)  2 H 1.02-1.03
O (0.2875, 0.1137, 0.7129)  1 C 1.29
O (0.2875, 0.3863, 0.2129)  1 C 1.29
O (0.3362, 0.6184, 0.9689)  1 C 1.30
O (0.3362, 0.8816, 0.4689)  1 C 1.30
O (0.4090, 0.0940, 0.3224)  1 C 1.30
O (0.4090, 0.4060, 0.8224)  1 C 1.30
O (0.4711, 0.5468, 0.5895)  1 H 1.21, 1 C 1.31
O (0.4711, 0.9532, 0.0895)  1 H 1.21, 1 C 1.31
O (0.5289, 0.0468, 0.9105)  1 H 1.21, 1 C 1.31
O (0.5289, 0.4532, 0.4105)  1 H 1.21, 1 C 1.31
O (0.5910, 0.5940, 0.1776)  1 C 1.30
O (0.5910, 0.9060, 0.6776)  1 C 1.30
O (0.6638, 0.1184, 0.5311)  1 C 1.30
O (0.6638, 0.3816, 0.0311)  1 C 1.30
O (0.7125, 0.6137, 0.7871)  1 C 1.29
O (0.7125, 0.8863, 0.2871)  1 C 1.29
O (0.7577, 0.2091, 0.2477)  2 H 1.02-1.03
O (0.7577, 0.2909, 0.7477)  2 H 1.02-1.03
O (0.7945, 0.6713, 0.0534)  1 C 1.28
O (0.7945, 0.8287, 0.5534)  1 C 1.28
O (0.9436, 0.5620, 0.6643)  1 C 1.29
O (0.9436, 0.9380, 0.1643)  1 C 1.29

**Crystal system**: monoclinic
**Energy**: -0.23194 hartree per atom
**Space-group type**: P2_1/c

(5)
A geometry-optimized TlSbTe2 structure, computed with PBEsol.

a = 4.4656 Å, b = 4.4656 Å, c = 6.4567 Å
α = 90.00°, β = 90.00°, γ = 90.00°
Last column: nearest neighbours and their distance in Å.
Fractional positions:
Tl (0.0000, 0.0000, 0.0000)  6 Te 3.16-3.28
Sb (0.5000, 0.5000, 0.5400)  1 Te 2.78
Te (0.0000, 0.0000, 0.4927)  4 Sb 3.17, 2 Tl 3.18-3.28
Te (0.5000, 0.5000, 0.9709)  1 Sb 2.78

**Raw formation energy**: -133 meV/atom
**Crystal system**: tetragonal
**Space-group type**: P4mm
**Relative energy among the computed polymorphs**: 6.7 kJ per mole of atoms

(6)
A geometry-optimized Nb3TeO structure, computed with PBEsol.

a = 4.2827 Å, b = 4.2827 Å, c = 4.2827 Å
α = 90.00°, β = 90.00°, γ = 90.00°
Last column: nearest neighbours and their distance in Å.
Fractional positions:
Nb (0.0000, 0.0000, 0.5000)  2 O 2.14
Nb (0.0000, 0.5000, 0.0000)  2 O 2.14
Nb (0.5000, 0.0000, 0.0000)  2 O 2.14
Te (0.5000, 0.5000, 0.5000)  12 Nb 3.03
O (0.0000, 0.0000, 0.0000)  6 Nb 2.14

**Raw formation energy**: -640 meV/atom
**Crystal system**: cubic
**Space-group type**: Pm-3m
**Relative energy among the computed polymorphs**: 0.0 kJ per mole of atoms

(7)
A geometry-optimized CsAgBr2 structure, computed with PBEsol.

a = 10.0880 Å, b = 10.0880 Å, c = 5.7613 Å
α = 90.00°, β = 90.00°, γ = 153.78°
Last column: nearest neighbours and their distance in Å.
Fractional positions:
Cs (0.0873, 0.9127, 0.7500)  8 Br 3.59-3.81
Cs (0.9127, 0.0873, 0.2500)  8 Br 3.59-3.81
Ag (0.3002, 0.6998, 0.7500)  3 Br 2.60-2.69
Ag (0.6998, 0.3002, 0.2500)  3 Br 2.60-2.69
Br (0.2722, 0.7278, 0.2500)  4 Ag 2.69-2.93
Br (0.4325, 0.5675, 0.7500)  1 Ag 2.60
Br (0.5675, 0.4325, 0.2500)  1 Ag 2.60
Br (0.7278, 0.2722, 0.7500)  4 Ag 2.69-2.93

**Raw formation energy**: -1047 meV/atom
**Crystal system**: orthorhombic
**Space-group type**: Cmcm
**Relative energy among the computed polymorphs**: 0.5 kJ per mole of atoms

(8)
A geometry-optimized Ba2AgSb structure, computed with PBEsol.

a = 5.7040 Å, b = 5.7040 Å, c = 4.2547 Å
α = 90.00°, β = 90.00°, γ = 90.00°
Last column: nearest neighbours and their distance in Å.
Fractional positions:
Ba (0.0000, 0.5000, 0.0000)  4 Sb 3.56, 4 Ag 3.56
Ba (0.5000, 0.0000, 0.0000)  4 Sb 3.56, 4 Ag 3.56
Ag (0.0000, 0.0000, 0.5000)  8 Ba 3.56
Sb (0.5000, 0.5000, 0.5000)  8 Ba 3.56

**Raw formation energy**: -618 meV/atom
**Crystal system**: tetragonal
**Space-group type**: P4/mmm